[1]
Computed, not measured: a relaxed structure of Tl3In2I4 at the PBE level of DFT.

Structure (extended XYZ):
```
18
Lattice="6.9735 0.0000 0.0000 0.1861 10.5996 0.0000 1.3989 1.6914 10.5597" Properties=species:S:1:pos:R:3 pbc="T T T"
Tl 0.0744 2.7895 0.0633
Tl 2.7038 7.2138 4.7636
Tl 3.8177 10.6766 2.4963
Tl 4.7408 1.6144 8.0634
Tl 5.8547 5.0772 5.7961
Tl 8.4841 9.5016 10.4964
In 1.1878 9.9845 5.0822
In 3.5761 5.1453 2.2451
In 4.9824 7.1457 8.3146
In 7.3708 2.3065 5.4775
I 1.3751 1.7858 8.4794
I 1.5574 6.7982 7.8913
I 3.4507 2.8826 4.6375
I 5.0114 9.8290 10.5191
I 3.5471 2.4620 0.0406
I 5.1079 9.4085 5.9222
I 7.0011 5.4929 2.6684
I 7.1835 10.5052 2.0803
```

Final energy, eV per cell: -45.4
Symmetry: P-1 (2)
Energy relative to the elements, uncorrected, eV/atom: -0.434

=====

[2]
Computed, not measured: a relaxed structure of TlInI at the PBE level of DFT.

Structure (extended XYZ):
```
6
Lattice="4.9084 0.0000 0.0000 2.1790 6.3129 0.0000 2.2137 0.5915 7.3113" Properties=species:S:1:pos:R:3 pbc="T T T"
Tl 0.0000 0.0000 0.0000
Tl 5.4598 3.5262 7.2511
In 2.9987 4.3574 5.3178
In 1.9242 2.7915 2.8480
I 4.5522 5.1245 2.2571
I 4.6328 1.1554 4.8238
```

Final energy, eV per cell: -14.6
Symmetry: P1 (1)
Energy relative to the elements, uncorrected, eV/atom: -0.211
Energy relative to the lowest polymorph listed for this composition, meV/atom: 98

=====

[3]
Computed, not measured: a relaxed structure of TlIn2I3 at the PBE level of DFT.

Structure (extended XYZ):
```
12
Lattice="9.5637 -2.4288 0.0000 9.5637 2.4288 0.0000 -4.0348 0.0000 11.3166" Properties=species:S:1:pos:R:3 pbc="T T T"
Tl 0.0000 0.0000 0.0000
Tl 7.5463 0.0000 5.6583
In -0.1922 0.0000 9.4310
In 3.6642 0.0000 7.5307
In 11.4285 0.0000 3.7859
In 15.2848 0.0000 1.8856
I -0.6698 0.0000 3.4638
I 4.3832 0.0000 4.0510
I 2.9544 0.0000 10.9747
I 12.1382 0.0000 0.3419
I 10.7095 0.0000 7.2656
I 15.7625 0.0000 7.8528
```

Final energy, eV per cell: -31.1
Symmetry: C2/m (12)
Energy relative to the elements, uncorrected, eV/atom: -0.513
Energy relative to the lowest polymorph listed for this composition, meV/atom: 4

=====

[4]
Computed, not measured: a relaxed structure of Tl2In2I at the PBE level of DFT.

Structure (extended XYZ):
```
10
Lattice="8.9761 0.0000 0.0000 0.0000 8.9761 0.0000 0.0000 0.0000 4.0839" Properties=species:S:1:pos:R:3 pbc="T T T"
Tl 1.6223 2.8658 0.0000
Tl 2.8658 7.3538 0.0000
Tl 6.1103 1.6223 0.0000
Tl 7.3538 6.1103 0.0000
In 1.1146 5.6027 2.0419
In 3.3734 1.1146 2.0419
In 5.6027 7.8614 2.0419
In 7.8614 3.3734 2.0419
I 0.0000 0.0000 2.0419
I 4.4880 4.4880 2.0419
```

Final energy, eV per cell: -24.3
Symmetry: P4/mbm (127)
Energy relative to the elements, uncorrected, eV/atom: -0.073
Energy relative to the lowest polymorph listed for this composition, meV/atom: 0

=====

[5]
Computed, not measured: a relaxed structure of Tl2InI at the PBE level of DFT.

Structure (extended XYZ):
```
4
Lattice="5.8743 0.0000 0.0000 0.0000 5.8743 0.0000 0.0000 0.0000 3.9209" Properties=species:S:1:pos:R:3 pbc="T T T"
Tl 0.0000 2.9372 0.0000
Tl 2.9372 0.0000 0.0000
In 0.0000 0.0000 1.9605
I 2.9372 2.9372 1.9605
```

Final energy, eV per cell: -9.6
Symmetry: P4/mmm (123)
Energy relative to the elements, uncorrected, eV/atom: -0.153
Energy relative to the lowest polymorph listed for this composition, meV/atom: 0

=====

[6]
Computed, not measured: a relaxed structure of TlIn3I8 at the PBE level of DFT.

Structure (extended XYZ):
```
12
Lattice="6.4652 -4.5227 0.0000 6.4652 4.5227 0.0000 -0.1621 0.0000 10.8874" Properties=species:S:1:pos:R:3 pbc="T T T"
Tl 0.0000 0.0000 0.0000
In -0.0810 0.0000 5.4437
In 4.8751 0.0000 2.6787
In 7.8932 0.0000 8.2087
I 6.1957 2.2204 8.1320
I 3.3654 0.0000 4.9718
I 6.5725 2.2204 2.7554
I 3.5419 0.0000 0.2835
I 9.2264 0.0000 10.6039
I 6.1957 -2.2204 8.1320
I 9.4029 0.0000 5.9156
I 6.5725 -2.2204 2.7554
```

Final energy, eV per cell: -29.2
Symmetry: C2/m (12)
Energy relative to the elements, uncorrected, eV/atom: -0.522

=====

[7]
Computed, not measured: a relaxed structure of TlIn2I at the PBE level of DFT.

Structure (extended XYZ):
```
16
Lattice="8.0648 0.0000 0.0000 0.0000 8.0648 0.0000 0.0000 0.0000 8.0648" Properties=species:S:1:pos:R:3 pbc="T T T"
Tl 0.0000 0.0000 0.0000
Tl 0.0000 4.0324 4.0324
Tl 4.0324 0.0000 4.0324
Tl 4.0324 4.0324 0.0000
In 2.0162 2.0162 2.0162
In 2.0162 2.0162 6.0486
In 2.0162 6.0486 2.0162
In 2.0162 6.0486 6.0486
In 6.0486 2.0162 2.0162
In 6.0486 2.0162 6.0486
In 6.0486 6.0486 2.0162
In 6.0486 6.0486 6.0486
I 0.0000 0.0000 4.0324
I 0.0000 4.0324 0.0000
I 4.0324 0.0000 0.0000
I 4.0324 4.0324 4.0324
```

Final energy, eV per cell: -37.0
Symmetry: Fm-3m (225)
Energy relative to the elements, uncorrected, eV/atom: 0.037
Energy relative to the lowest polymorph listed for this composition, meV/atom: 122

=====

[8]
Computed, not measured: a relaxed structure of Tl2InI3 at the PBE level of DFT.

Structure (extended XYZ):
```
12
Lattice="5.0112 0.0000 0.0000 0.0000 7.0694 0.0000 0.0000 0.0000 14.9602" Properties=species:S:1:pos:R:3 pbc="T T T"
Tl 0.0000 0.0000 2.5033
Tl 0.0000 0.0000 12.4569
Tl 2.5056 3.5347 4.9768
Tl 2.5056 3.5347 9.9834
In 0.0000 0.0000 7.4801
In 2.5056 3.5347 0.0000
I 0.0000 3.5347 2.4653
I 0.0000 3.5347 7.4801
I 0.0000 3.5347 12.4949
I 2.5056 0.0000 0.0000
I 2.5056 0.0000 5.0148
I 2.5056 0.0000 9.9454
```

Final energy, eV per cell: -31.4
Symmetry: Immm (71)
Energy relative to the elements, uncorrected, eV/atom: -0.595
Energy relative to the lowest polymorph listed for this composition, meV/atom: 0

=====

[9]
Computed, not measured: a relaxed structure of Tl2In2I at the PBE level of DFT.

Structure (extended XYZ):
```
10
Lattice="9.0703 0.0000 0.0000 0.0000 9.0703 0.0000 0.0000 0.0000 4.0381" Properties=species:S:1:pos:R:3 pbc="T T T"
Tl 1.3052 3.2300 0.0000
Tl 3.2300 7.7651 0.0000
Tl 5.8403 1.3052 0.0000
Tl 7.7651 5.8403 0.0000
In 1.4291 5.9643 2.0191
In 3.1060 1.4291 2.0191
In 5.9643 7.6412 2.0191
In 7.6412 3.1060 2.0191
I 0.0000 0.0000 0.0000
I 4.5351 4.5351 0.0000
```

Final energy, eV per cell: -24.0
Symmetry: P4/mbm (127)
Energy relative to the elements, uncorrected, eV/atom: -0.045
Energy relative to the lowest polymorph listed for this composition, meV/atom: 28

=====

[10]
Computed, not measured: a relaxed structure of Tl3InI6 at the PBE level of DFT.

Structure (extended XYZ):
```
20
Lattice="8.1606 0.0000 0.0000 0.0000 9.0565 0.0000 -7.1684 0.0000 11.7906" Properties=species:S:1:pos:R:3 pbc="T T T"
Tl 0.0000 0.0000 0.0000
Tl -3.5842 4.5283 5.8953
Tl -3.6895 0.8321 8.6305
Tl -0.1054 3.6962 2.7352
Tl 1.0976 5.3603 9.0553
Tl 4.6818 8.2244 3.1600
In 0.4961 0.0000 5.8953
In 4.0803 4.5283 0.0000
I -2.0012 1.5217 5.3705
I -5.5853 3.0066 11.2658
I -0.8530 6.5411 4.9836
I -4.4372 7.0437 10.8789
I 1.4165 0.5294 3.1495
I -2.1676 3.9988 9.0448
I 3.1598 5.0577 2.7458
I -0.4243 8.5271 8.6410
I 5.4294 2.0128 0.9116
I 1.8452 2.5154 6.8069
I 6.5776 6.0499 0.5248
I 2.9934 7.5349 6.4201
```

Final energy, eV per cell: -49.8
Symmetry: P2_1/c (14)
Energy relative to the elements, uncorrected, eV/atom: -0.574

=====

[11]
Computed, not measured: a relaxed structure of Tl2In2I at the PBE level of DFT.

Structure (extended XYZ):
```
10
Lattice="4.4449 0.0000 0.0000 0.0000 4.4449 0.0000 0.0000 0.0000 17.5939" Properties=species:S:1:pos:R:3 pbc="T T T"
Tl 0.0000 0.0000 1.6311
Tl 0.0000 0.0000 15.9628
Tl 2.2225 2.2225 7.1659
Tl 2.2225 2.2225 10.4280
In 0.0000 2.2225 4.3985
In 0.0000 2.2225 13.1954
In 2.2225 0.0000 4.3985
In 2.2225 0.0000 13.1954
I 0.0000 0.0000 8.7969
I 2.2225 2.2225 0.0000
```

Final energy, eV per cell: -24.2
Symmetry: I4/mmm (139)
Energy relative to the elements, uncorrected, eV/atom: -0.066
Energy relative to the lowest polymorph listed for this composition, meV/atom: 7

=====

[12]
Computed, not measured: a relaxed structure of Tl3InI4 at the PBE level of DFT.

Structure (extended XYZ):
```
16
Lattice="7.0755 0.0000 0.0000 0.0000 7.0755 0.0000 0.0000 0.0000 14.1537" Properties=species:S:1:pos:R:3 pbc="T T T"
Tl 0.0000 0.0000 0.0000
Tl 0.0000 3.5377 3.5384
Tl 0.0000 3.5377 10.6153
Tl 3.5377 0.0000 3.5384
Tl 3.5377 0.0000 10.6153
Tl 3.5377 3.5377 7.0769
In 0.0000 0.0000 7.0769
In 3.5377 3.5377 0.0000
I 0.0000 0.0000 3.5599
I 0.0000 0.0000 10.5938
I 0.0000 3.5377 0.0000
I 0.0000 3.5377 7.0769
I 3.5377 0.0000 0.0000
I 3.5377 0.0000 7.0769
I 3.5377 3.5377 3.5170
I 3.5377 3.5377 10.6367
```

Final energy, eV per cell: -41.9
Symmetry: I4/mmm (139)
Energy relative to the elements, uncorrected, eV/atom: -0.612
Energy relative to the lowest polymorph listed for this composition, meV/atom: 0